Record 1
# Hf2TlAg, optimized geometry, DFT PBE
data_Hf2TlAg
_cell_length_a 3.1824
_cell_length_b 3.1824
_cell_length_c 29.8475
_cell_angle_alpha 90.00
_cell_angle_beta 90.00
_cell_angle_gamma 120.00
_space_group_name_H-M_alt 'R -3 m'
_space_group_IT_number 166
_space_group_name_Hall '-R 3 2"'
loop_
_atom_site_label
_atom_site_type_symbol
_atom_site_fract_x
_atom_site_fract_y
_atom_site_fract_z
Hf1 Hf 0.0000 0.0000 0.2462
Tl1 Tl 0.0000 0.0000 0.0000
Ag1 Ag 0.0000 0.0000 0.5000
# **Total magnetization**: 0.0 μB/f.u.
# **Energy relative to the elements**: 0.183 eV/atom
# **Total energy**: -6.0983 eV per atom



Record 2
# Sr2CuH6, optimized geometry, DFT PBE
data_Sr2CuH6
_cell_length_a 3.845
_cell_length_b 3.845
_cell_length_c 13.737
_cell_angle_alpha 90.00
_cell_angle_beta 90.00
_cell_angle_gamma 90.00
_space_group_name_H-M_alt 'I 4/m m m'
_space_group_IT_number 139
_space_group_name_Hall '-I 4 2'
loop_
_atom_site_label
_atom_site_type_symbol
_atom_site_fract_x
_atom_site_fract_y
_atom_site_fract_z
Sr1 Sr 0.000 0.000 0.145
Cu1 Cu 0.000 0.000 0.500
H1 H 0.000 0.000 0.384
H2 H 0.000 0.500 0.000
H3 H 0.000 0.500 0.250
# **Total magnetization**: 0.0 μB/f.u.
# **Total energy**: -3.4236 eV per atom



Record 3
# K4Ho, optimized geometry, DFT PBE
data_K4Ho
_cell_length_a 7.445
_cell_length_b 7.445
_cell_length_c 7.445
_cell_angle_alpha 90.00
_cell_angle_beta 90.00
_cell_angle_gamma 90.00
_space_group_name_H-M_alt 'P m -3 m'
_space_group_IT_number 221
_space_group_name_Hall '-P 4 2 3'
loop_
_atom_site_label
_atom_site_type_symbol
_atom_site_fract_x
_atom_site_fract_y
_atom_site_fract_z
K1 K 0.000 0.000 0.000
K2 K 0.000 0.500 0.500
Ho1 Ho 0.500 0.500 0.500
# **Total magnetization**: 2.5 μB/f.u.
# **Energy relative to the elements**: 0.726 eV/atom
# **Total energy**: -1.0675 eV per atom



Record 4
# La3Pr4Nd5, optimized geometry, DFT PBE
data_La3Pr4Nd5
_cell_length_a 16.619
_cell_length_b 6.153
_cell_length_c 9.573
_cell_angle_alpha 90.00
_cell_angle_beta 116.15
_cell_angle_gamma 90.00
_space_group_name_H-M_alt 'C 1 2/m 1'
_space_group_IT_number 12
_space_group_name_Hall '-C 2y'
loop_
_atom_site_label
_atom_site_type_symbol
_atom_site_fract_x
_atom_site_fract_y
_atom_site_fract_z
La1 La 0.000 0.000 0.000
La2 La 0.206 0.500 0.219
Pr1 Pr 0.082 0.500 0.439
Pr2 Pr 0.208 0.500 0.873
Nd1 Nd 0.000 0.500 0.000
Nd2 Nd 0.074 0.000 0.698
Nd3 Nd 0.173 0.000 0.393
# **Total magnetization**: 0.2 μB/f.u.
# **Energy relative to the elements**: 0.189 eV/atom
# **Total energy**: -4.6223 eV per atom



Record 5
# Zr2PbW, optimized geometry, DFT PBE
data_Zr2PbW
_cell_length_a 3.556
_cell_length_b 5.240
_cell_length_c 9.360
_cell_angle_alpha 90.00
_cell_angle_beta 90.00
_cell_angle_gamma 90.00
_space_group_name_H-M_alt 'C m m m'
_space_group_IT_number 65
_space_group_name_Hall '-C 2 2'
loop_
_atom_site_label
_atom_site_type_symbol
_atom_site_fract_x
_atom_site_fract_y
_atom_site_fract_z
Zr1 Zr 0.000 0.000 0.224
Pb1 Pb 0.000 0.500 0.500
W1 W 0.000 0.500 0.000
# **Total magnetization**: 0.0 μB/f.u.
# **Energy relative to the elements**: 0.079 eV/atom
# **Total energy**: -8.3604 eV per atom



Record 6
# Cs2RbHgAu, optimized geometry, DFT PBE
data_Cs2RbHgAu
_cell_length_a 7.152
_cell_length_b 7.152
_cell_length_c 5.604
_cell_angle_alpha 90.00
_cell_angle_beta 90.00
_cell_angle_gamma 90.00
_space_group_name_H-M_alt 'P 4/m m m'
_space_group_IT_number 123
_space_group_name_Hall '-P 4 2'
loop_
_atom_site_label
_atom_site_type_symbol
_atom_site_fract_x
_atom_site_fract_y
_atom_site_fract_z
Cs1 Cs 0.000 0.500 0.000
Rb1 Rb 0.000 0.000 0.500
Hg1 Hg 0.500 0.500 0.500
Au1 Au 0.500 0.500 0.000
# **Total magnetization**: 0.0 μB/f.u.
# **Energy relative to the elements**: -0.134 eV/atom
# **Total energy**: -1.3846 eV per atom



Record 7
# HoIrS2, optimized geometry, DFT PBE
data_HoIrS2
_cell_length_a 3.6625
_cell_length_b 3.6625
_cell_length_c 23.0649
_cell_angle_alpha 90.00
_cell_angle_beta 90.00
_cell_angle_gamma 120.00
_space_group_name_H-M_alt 'R -3 m'
_space_group_IT_number 166
_space_group_name_Hall '-R 3 2"'
loop_
_atom_site_label
_atom_site_type_symbol
_atom_site_fract_x
_atom_site_fract_y
_atom_site_fract_z
Ho1 Ho 0.0000 0.0000 0.0000
Ir1 Ir 0.0000 0.0000 0.5000
S1 S 0.0000 0.0000 0.1173
# **Total magnetization**: 0.0 μB/f.u.
# **Raw formation energy**: -493.8 meV/atom
# **Total energy**: -5.9172 eV per atom



Record 8
# YAgS2, optimized geometry, DFT PBE
data_YAgS2
_cell_length_a 3.929
_cell_length_b 3.929
_cell_length_c 5.478
_cell_angle_alpha 90.00
_cell_angle_beta 90.00
_cell_angle_gamma 90.00
_space_group_name_H-M_alt 'P 4/m m m'
_space_group_IT_number 123
_space_group_name_Hall '-P 4 2'
loop_
_atom_site_label
_atom_site_type_symbol
_atom_site_fract_x
_atom_site_fract_y
_atom_site_fract_z
Y1 Y 0.000 0.000 0.000
Ag1 Ag 0.500 0.500 0.500
S1 S 0.000 0.000 0.500
S2 S 0.500 0.500 0.000
# **Total magnetization**: 0.0 μB/f.u.
# **Raw formation energy**: -1218.5 meV/atom
# **Total energy**: -5.6110 eV per atom